VASP calculation (PBE) on a relaxed structure of Fe2SiPb2.

abc: 8.926 8.926 8.926
angles: 157.77 157.77 31.64
Sites, in units of the cell vectors:
Fe 0.250 0.750 0.500
Fe 0.750 0.250 0.500
Si 0.000 0.000 0.000
Pb 0.387 0.387 0.000
Pb 0.613 0.613 0.000

Output
Magnetization   0.9898 μB/atom
E_tot   -5.3488 eV/atom
Crystal system   tetragonal

=====

VASP calculation (PBE) on a relaxed structure of FeSiPb.

abc: 4.045 4.045 4.043
angles: 90.00 90.00 120.00
Sites, in units of the cell vectors:
Fe 0.000 0.000 0.000
Si 0.333 0.667 0.000
Pb 0.667 0.333 0.500

Output
Magnetization   0.6690 μB/atom
E_tot   -5.5152 eV/atom
ΔE to the lowest computed polymorph   52 meV/atom
Crystal system   hexagonal